Record 1
4
Lattice="-2.5876 -2.0310 -6.5228 -5.5747 -2.4522 -4.0346 -1.1080 3.7077 -0.7025" Properties=species:S:1:pos:R:3 comment="PBE LiAgBr2, relaxed" formation_energy_uncorrected_ev_per_fu=-3.5 total_magnetization_mub_per_atom=0.00 pbc="T T T"
Br -6.7177 -0.9851 -8.2311
Br -0.2169 0.4147 -0.1902
Li -5.1363 -0.1296 -6.1878
Ag -1.8346 -0.4633 -2.2808

=====

Record 2
5
Lattice="-2.6794 1.5193 -2.5662 2.8669 -1.5764 -3.9267 -1.9587 -3.4979 -0.0258" Properties=species:S:1:pos:R:3 comment="PBE NbCuTcF2, relaxed" formation_energy_uncorrected_ev_per_fu=-2.6 total_magnetization_mub_per_atom=0.16 pbc="T T T"
F -1.3397 0.7597 -1.2831
Tc 1.4334 -0.7882 -1.9634
F -0.9794 -1.7490 -0.0129
Cu -0.8856 -1.7775 -3.2593
Nb 0.0000 0.0000 0.0000

=====

Record 3
8
Lattice="3.1595 0.0000 0.0000 0.0000 3.1595 0.0000 0.0000 0.0000 12.7433" Properties=species:S:1:pos:R:3 comment="PBE Sc4BeNi3, relaxed" total_magnetization_mub_per_atom=0.00 e_form_ev_per_fu=-3.1 pbc="T T T"
Sc 0.0000 0.0000 7.9715
Sc 0.0000 0.0000 4.7718
Ni 1.5798 1.5798 6.3717
Ni 1.5798 1.5798 9.5918
Ni 1.5798 1.5798 3.1515
Sc 0.0000 0.0000 11.1733
Be 1.5798 1.5798 0.0000
Sc 0.0000 0.0000 1.5700

=====

Record 4
14
Lattice="-2.5247 2.6121 -3.7177 -5.3534 -6.8250 -1.1598 -2.0555 6.2406 5.7805" Properties=species:S:1:pos:R:3 comment="PBE Cd3SnHg3, relaxed" total_magnetization_mub_per_atom=0.00 e_form_ev_per_fu=0.4 pbc="T T T"
Cd -2.0181 -0.6285 -0.8880
Hg -7.4767 -1.9509 -1.7439
Hg -3.5109 1.0410 1.2988
Cd -6.5708 -0.1671 2.5279
Cd -7.9154 2.6562 1.7910
Cd -6.0669 -4.6546 -0.9673
Cd -3.3627 2.1948 -1.6249
Sn -4.8853 -1.8168 0.2242
Hg -4.5434 -0.5679 -2.7642
Hg -6.4227 0.9867 -0.3958
Cd -3.8667 6.6823 1.8703
Hg -5.3901 2.5957 3.6672
Hg -2.4568 3.9786 2.6469
Sn -5.0483 3.8445 0.6788

=====

Record 5
12
Lattice="-3.7818 -3.2245 0.1390 -1.8999 -1.7872 -4.2326 3.2260 -7.6652 -1.1315" Properties=species:S:1:pos:R:3 comment="PBE PrIn2Ni9, relaxed" total_magnetization_mub_per_atom=0.16 e_form_ev_per_fu=-2.1 pbc="T T T"
Pr 0.0000 0.0000 0.0000
Ni -1.2278 -6.3385 -2.6125
Ni -3.7810 -3.3491 -2.7287
Ni 0.9824 -7.0263 -3.3142
Ni -1.5293 -4.0231 -1.9810
In -3.5089 -7.5557 -3.9947
Ni 1.3253 -9.3278 -2.4963
Ni -2.4882 -4.9251 -4.1174
Ni 0.0326 -7.7518 -1.1077
Ni -0.9264 -8.6539 -3.2440
Ni -3.4381 -5.6506 -1.9108
In 1.0532 -5.1212 -1.2304

=====

Record 6
11
Lattice="6.6438 -0.0028 -0.7163 0.0034 7.0659 0.0029 -1.1289 -0.0022 6.5862" Properties=species:S:1:pos:R:3 comment="PBE Er7Hg2Os2, relaxed" total_magnetization_mub_per_atom=0.00 e_form_ev_per_fu=-2.5 pbc="T T T"
Er 2.7583 1.7014 2.9356
Er 3.3228 1.7690 -0.3574
Hg 4.4978 3.5288 4.7870
Er 2.7600 5.3595 2.9372
Er 6.0802 1.7664 2.5775
Hg 1.0204 3.5320 1.0858
Er 0.0000 0.0000 0.0000
Er 2.1955 5.2919 6.2302
Er -0.5619 5.2944 3.2953
Os 4.3917 7.0632 1.4056
Os 1.1265 -0.0024 4.4672

=====

Record 7
6
Lattice="0.0000 5.2751 5.2751 5.2751 0.0000 5.2751 5.2751 5.2751 0.0000" Properties=species:S:1:pos:R:3 comment="PBE Ba4LiZr, relaxed" total_magnetization_mub_per_atom=0.77 e_form_ev_per_fu=4.6 pbc="T T T"
Ba 3.9446 3.9446 3.9446
Li 7.9127 7.9127 7.9127
Ba 6.6057 3.9446 6.6057
Ba 3.9446 6.6057 6.6057
Ba 6.6057 6.6057 3.9446
Zr 0.0000 0.0000 0.0000

=====

Record 8
8
Lattice="4.7492 0.0000 0.0000 0.0000 4.7492 0.0000 2.3746 2.3746 7.3749" Properties=species:S:1:pos:R:3 comment="PBE BeSb2F, relaxed" formation_energy_uncorrected_ev_per_fu=-0.7 total_magnetization_mub_per_atom=0.00 pbc="T T T"
Sb 3.5528 1.1873 1.8437
Sb 1.1964 3.5619 1.8437
Sb 3.5619 3.5710 5.5312
F 4.7492 2.3746 3.6875
F 0.0000 0.0000 0.0000
Be 2.3746 2.3746 0.0000
Be 2.3746 4.7492 3.6875
Sb 5.9365 5.9274 5.5312